CdTeSe | Alexandria via LeMat-Bulk | PBE-GGA | relaxed; density of states at the Fermi level = 0.86 states/eV per cell; E_form (uncorrected) = -0.27 eV per atom; E above lowest polymorph = 39 meV per atom
1.0
11.0547 0.0000 0.0024
0.0000 4.0723 0.0000
-1.5593 0.0000 7.7035
Te Cd Se
4 4 4
direct
0.1813 0.5000 0.0177
0.9941 0.0000 0.0095
0.1813 0.0000 0.5177
0.9941 0.5000 0.5095
0.4975 0.0000 0.7986
0.4975 0.5000 0.2986
0.8070 0.0000 0.6988
0.8070 0.5000 0.1988
0.3864 0.0000 0.0711
0.6882 0.0000 0.3684
0.6882 0.5000 0.8684
0.3864 0.5000 0.5711

---

NbCr3Cu2S8 | Alexandria via LeMat-Bulk | PBE-GGA | relaxed; density of states at the Fermi level = 9.95 states/eV per cell; E_form (uncorrected) = -0.69 eV per atom; E above lowest polymorph = 0 meV per atom
1.0
-6.6290 2.0211 -0.3881
-0.6477 -0.7683 7.0630
2.8014 9.4349 1.2832
S Nb Cu Cr
16 2 4 6
direct
0.9880 0.5027 0.7488
0.2510 0.7687 0.0124
0.0213 0.9986 0.2400
0.9787 0.9986 0.7600
0.0120 0.5027 0.2512
0.5213 0.0014 0.7600
0.2469 0.7501 0.4973
0.7469 0.2499 0.5027
0.7490 0.7687 0.9876
0.7531 0.7501 0.5027
0.7510 0.2313 0.9876
0.2531 0.2499 0.4973
0.5120 0.4973 0.7488
0.4880 0.4973 0.2512
0.2490 0.2313 0.0124
0.4787 0.0014 0.2400
0.0000 0.4882 0.5000
0.5000 0.5118 0.5000
0.2500 0.0000 0.6372
0.7500 0.5000 0.1100
0.7500 0.0000 0.3628
0.2500 0.5000 0.8900
0.7475 0.7489 0.7474
0.0000 0.9991 0.0000
0.5000 0.0009 0.0000
0.2525 0.7489 0.2526
0.2475 0.2511 0.2526
0.7525 0.2511 0.7474